1.
First-principles (PBE) data for a geometry-optimized IrPdS2N structure, as listed in the Alexandria database.

Unit cell a=4.8504 b=4.8504 c=3.6212 alpha=90.00 beta=90.00 gamma=90.00
Last column: nearest neighbours and their distance in Å.
Space group P4/mmm (No. 123)
One atom of each set of equivalent atoms:
Ir: 0.0000 0.0000 0.0000 (multiplicity 1)  2 N 1.81
Pd: 0.5000 0.5000 0.5000 (multiplicity 1)  8 S 3.03
S: 0.0000 0.5000 0.0000 (multiplicity 2)  2 Ir 2.43
N: 0.0000 0.0000 0.5000 (multiplicity 1)  2 Ir 1.81

Values from the calculation:
- DOS at the Fermi energy: 4.669 states/eV/cell
- Formation energy (no corrections): 64 kJ/mol of atoms
- Crystal system: tetragonal

***

2.
First-principles (PBE) data for a geometry-optimized IrPdSN2 structure, as listed in the Alexandria database.

Unit cell a=3.7967 b=3.7967 c=5.1259 alpha=90.00 beta=90.00 gamma=90.00
Last column: nearest neighbours and their distance in Å.
Space group P4/mmm (No. 123)
One atom of each set of equivalent atoms:
Ir: 0.0000 0.0000 0.0000 (multiplicity 1)  4 S 2.68
Pd: 0.5000 0.5000 0.5000 (multiplicity 1)  4 N 1.90
S: 0.5000 0.5000 0.0000 (multiplicity 1)  2 Pd 2.56, 4 Ir 2.68
N: 0.0000 0.5000 0.5000 (multiplicity 2)  2 Pd 1.90

Values from the calculation:
- DOS at the Fermi energy: 4.851 states/eV/cell
- Formation energy (no corrections): 188 kJ/mol of atoms
- Crystal system: tetragonal

***

3.
First-principles (PBE) data for a geometry-optimized IrPdSeN2 structure, as listed in the Alexandria database.

Unit cell a=3.6840 b=3.6840 c=7.7522 alpha=90.00 beta=90.00 gamma=90.00
Last column: nearest neighbours and their distance in Å.
Space group P4/mmm (No. 123)
One atom of each set of equivalent atoms:
Ir: 0.0000 0.0000 0.0000 (multiplicity 1)  4 Se 2.60
Pd: 0.5000 0.5000 0.5000 (multiplicity 1)  4 N 1.84
Se: 0.5000 0.5000 0.0000 (multiplicity 1)  4 Ir 2.60
N: 0.0000 0.5000 0.5000 (multiplicity 2)  2 Pd 1.84

Values from the calculation:
- DOS at the Fermi energy: 4.412 states/eV/cell
- Formation energy (no corrections): 174 kJ/mol of atoms
- Crystal system: tetragonal